Entry 1:
# LiCd2AgF6 (GGA-PBE, relaxed)
# Final energy   -38.53 eV/f.u.
# Crystal system   trigonal
# ΔE_f (raw)   -20.71 eV per formula unit
data_LiCd2AgF6
_cell_length_a 5.7707
_cell_length_b 5.7707
_cell_length_c 15.1568
_cell_angle_alpha 90.00
_cell_angle_beta 90.00
_cell_angle_gamma 120.00
_symmetry_space_group_name_H-M 'R 3'
_symmetry_Int_Tables_number 146
_symmetry_space_group_name_Hall 'R 3'
loop_
_atom_site_label
_atom_site_fract_x
_atom_site_fract_y
_atom_site_fract_z
Li1 0.0000 0.0000 0.0000
Cd1 0.0000 0.0000 0.3066
Cd2 0.0000 0.0000 0.7926
Ag1 0.0000 0.0000 0.5240
F1 0.0018 0.3479 0.7259
F2 0.0355 0.7404 0.9024

=====

Entry 2:
# AcNbSi2 (GGA-PBE, relaxed)
# Fermi-level density of states   0.3657 states/eV per atom
# Final energy   -26.20 eV/f.u.
# Crystal system   trigonal
# ΔE_f (raw)   -1.18 eV per formula unit
data_AcNbSi2
_cell_length_a 3.9980
_cell_length_b 3.9980
_cell_length_c 20.3677
_cell_angle_alpha 90.00
_cell_angle_beta 90.00
_cell_angle_gamma 120.00
_symmetry_space_group_name_H-M 'R -3 m'
_symmetry_Int_Tables_number 166
_symmetry_space_group_name_Hall '-R 3 2"'
loop_
_atom_site_label
_atom_site_fract_x
_atom_site_fract_y
_atom_site_fract_z
Ac1 0.0000 0.0000 0.0000
Nb1 0.0000 0.0000 0.5000
Si1 0.0000 0.0000 0.2290

=====

Entry 3:
# ZrCrIr2 (GGA-PBE, relaxed)
# Fermi-level density of states   1.0064 states/eV per atom
# Energy relative to the lowest polymorph listed for this composition   0.313 eV/atom
# Final energy   -36.59 eV/f.u.
# Crystal system   monoclinic
# Formation energy   -0.174 eV/atom
data_ZrCrIr2
_cell_length_a 9.1385
_cell_length_b 2.8921
_cell_length_c 4.8973
_cell_angle_alpha 90.00
_cell_angle_beta 101.57
_cell_angle_gamma 90.00
_symmetry_space_group_name_H-M 'C 1 2/m 1'
_symmetry_Int_Tables_number 12
_symmetry_space_group_name_Hall '-C 2y'
loop_
_atom_site_label
_atom_site_fract_x
_atom_site_fract_y
_atom_site_fract_z
Zr1 0.0000 0.0000 0.0000
Cr1 0.0000 0.5000 0.5000
Ir1 0.2420 0.0000 0.7258

=====

Entry 4:
# I2BrClF (GGA-PBE, relaxed)
# Fermi-level density of states   0.9376 states/eV per atom
# Final energy   -7.53 eV/f.u.
# Crystal system   tetragonal
# ΔE_f (raw)   0.96 eV per formula unit
data_I2BrClF
_cell_length_a 4.7289
_cell_length_b 4.7289
_cell_length_c 7.6060
_cell_angle_alpha 90.00
_cell_angle_beta 90.00
_cell_angle_gamma 90.00
_symmetry_space_group_name_H-M 'P 4/m m m'
_symmetry_Int_Tables_number 123
_symmetry_space_group_name_Hall '-P 4 2'
loop_
_atom_site_label
_atom_site_fract_x
_atom_site_fract_y
_atom_site_fract_z
I1 0.0000 0.5000 0.0000
Br1 0.0000 0.0000 0.5000
Cl1 0.5000 0.5000 0.5000
F1 0.5000 0.5000 0.0000

=====

Entry 5:
# Ce4Ga3Pt (GGA-PBE, relaxed)
# Fermi-level density of states   2.4620 states/eV per atom
# Final energy   -43.70 eV/f.u.
# Crystal system   orthorhombic
# Formation energy   -0.606 eV/atom
data_Ce4Ga3Pt
_cell_length_a 4.1858
_cell_length_b 4.2819
_cell_length_c 11.0131
_cell_angle_alpha 90.00
_cell_angle_beta 90.00
_cell_angle_gamma 90.00
_symmetry_space_group_name_H-M 'P m m 2'
_symmetry_Int_Tables_number 25
_symmetry_space_group_name_Hall 'P 2 -2'
loop_
_atom_site_label
_atom_site_fract_x
_atom_site_fract_y
_atom_site_fract_z
Ce1 0.0000 0.0000 0.0000
Ce2 0.0000 0.5000 0.4929
Ce3 0.5000 0.0000 0.2815
Ce4 0.5000 0.5000 0.7869
Ga1 0.0000 0.0000 0.7124
Ga2 0.0000 0.5000 0.2106
Ga3 0.5000 0.0000 0.5683
Pt1 0.5000 0.5000 0.0563

=====

Entry 6:
# Ti4Zn5Ir2 (GGA-PBE, relaxed)
# Fermi-level density of states   0.8499 states/eV per atom
# Final energy   -59.52 eV/f.u.
# Crystal system   monoclinic
# Formation energy   -0.350 eV/atom
data_Ti4Zn5Ir2
_cell_length_a 6.8485
_cell_length_b 2.8864
_cell_length_c 8.9443
_cell_angle_alpha 90.00
_cell_angle_beta 93.56
_cell_angle_gamma 90.00
_symmetry_space_group_name_H-M 'P 1 2/m 1'
_symmetry_Int_Tables_number 10
_symmetry_space_group_name_Hall '-P 2y'
loop_
_atom_site_label
_atom_site_fract_x
_atom_site_fract_y
_atom_site_fract_z
Ti1 0.1530 0.0000 0.3814
Ti2 0.2411 0.0000 0.9458
Zn1 0.2032 0.5000 0.6555
Zn2 0.4529 0.5000 0.1972
Zn3 0.5000 0.5000 0.5000
Ir1 0.0705 0.5000 0.1500